VASP calculation (PBE-GGA) on a geometry-optimized LiDyHgTe3 structure.

Cell: 13.7202 4.3167 12.7687 Å, 90.00 90.00 90.00°
Last column: nearest neighbours and their distance in Å.
Atoms (fractional coordinates):
Li1 0.1150 0.2500 0.0093  5 Te 3.00-3.07
Li2 0.3850 0.7500 0.5093  5 Te 3.00-3.07
Li3 0.6150 0.2500 0.4907  5 Te 3.00-3.07
Li4 0.8850 0.7500 0.9907  5 Te 3.00-3.07
Dy1 0.0603 0.2500 0.6761  6 Te 3.01-3.25
Dy2 0.4397 0.7500 0.1761  6 Te 3.01-3.25
Dy3 0.5603 0.2500 0.8239  6 Te 3.01-3.25
Dy4 0.9397 0.7500 0.3239  6 Te 3.01-3.25
Hg1 0.2306 0.2500 0.2864  4 Te 2.77-2.93
Hg2 0.2694 0.7500 0.7864  4 Te 2.77-2.93
Hg3 0.7306 0.2500 0.2136  4 Te 2.77-2.93
Hg4 0.7694 0.7500 0.7136  4 Te 2.77-2.93
Te1 0.0653 0.7500 0.8551  1 Hg 2.93, 3 Li 3.00-3.02, 2 Dy 3.14
Te2 0.0732 0.2500 0.4218  1 Hg 2.77, 2 Dy 3.09
Te3 0.2243 0.7500 0.1333  2 Hg 2.91, 1 Dy 3.01, 2 Li 3.07
Te4 0.2757 0.2500 0.6333  2 Hg 2.91, 1 Dy 3.01, 2 Li 3.07
Te5 0.4268 0.7500 0.9218  1 Hg 2.77, 2 Dy 3.09
Te6 0.4347 0.2500 0.3551  1 Hg 2.93, 3 Li 3.00-3.02, 2 Dy 3.14
Te7 0.5653 0.7500 0.6449  1 Hg 2.93, 3 Li 3.00-3.02, 2 Dy 3.14
Te8 0.5732 0.2500 0.0782  1 Hg 2.77, 2 Dy 3.09
Te9 0.7243 0.7500 0.3667  2 Hg 2.91, 1 Dy 3.01, 2 Li 3.07
Te10 0.7757 0.2500 0.8667  2 Hg 2.91, 1 Dy 3.01, 2 Li 3.07
Te11 0.9268 0.7500 0.5782  1 Hg 2.77, 2 Dy 3.09
Te12 0.9347 0.2500 0.1449  1 Hg 2.93, 3 Li 3.00-3.02, 2 Dy 3.14

## Properties
Energy above the lowest structure with this stoichiometry (eV per atom): 0.008

***

VASP calculation (PBE-GGA) on a geometry-optimized LiDyHgTe3 structure.

Cell: 7.6990 7.6990 11.5258 Å, 90.00 90.00 147.53°
Last column: nearest neighbours and their distance in Å.
Atoms (fractional coordinates):
Li1 0.1899 0.8101 0.7500  4 Te 3.14, 2 Hg 3.29
Li2 0.8101 0.1899 0.2500  4 Te 3.14, 2 Hg 3.29
Dy1 0.0000 0.0000 0.0000  6 Te 3.11-3.26
Dy2 0.0000 0.0000 0.5000  6 Te 3.11-3.26
Hg1 0.4781 0.5219 0.2500  4 Te 2.84
Hg2 0.5219 0.4781 0.7500  4 Te 2.84
Te1 0.1033 0.8967 0.2500  2 Hg 2.84
Te2 0.3556 0.6444 0.0605  1 Hg 2.84, 2 Dy 3.11, 2 Li 3.14
Te3 0.3556 0.6444 0.4395  1 Hg 2.84, 2 Dy 3.11, 2 Li 3.14
Te4 0.6444 0.3556 0.5605  1 Hg 2.84, 2 Dy 3.11, 2 Li 3.14
Te5 0.6444 0.3556 0.9395  1 Hg 2.84, 2 Dy 3.11, 2 Li 3.14
Te6 0.8967 0.1033 0.7500  2 Hg 2.84

## Properties
Energy above the lowest structure with this stoichiometry (eV per atom): 0.000

***

VASP calculation (PBE-GGA) on a geometry-optimized Dy2Lu5Hg structure.

Cell: 5.4467 6.9253 11.9810 Å, 90.00 90.00 90.00°
Last column: nearest neighbours and their distance in Å.
Atoms (fractional coordinates):
Dy1 0.0000 0.0000 0.0000  2 Hg 3.37, 10 Lu 3.41-3.51
Dy2 0.0000 0.5000 0.5000  2 Hg 3.37, 10 Lu 3.41-3.51
Dy3 0.5000 0.0000 0.3413  10 Lu 3.35-3.54, 2 Hg 3.46
Dy4 0.5000 0.5000 0.8413  10 Lu 3.35-3.54, 2 Hg 3.46
Lu1 0.0000 0.0000 0.5047  8 Lu 3.35-3.47, 4 Dy 3.35-3.46
Lu2 0.0000 0.2481 0.7540  2 Hg 3.36, 6 Lu 3.39-3.49, 4 Dy 3.40-3.51
Lu3 0.0000 0.2519 0.2540  2 Hg 3.36, 6 Lu 3.39-3.49, 4 Dy 3.40-3.51
Lu4 0.0000 0.5000 0.0047  8 Lu 3.35-3.47, 4 Dy 3.35-3.46
Lu5 0.0000 0.7481 0.2540  2 Hg 3.36, 6 Lu 3.39-3.49, 4 Dy 3.40-3.51
Lu6 0.0000 0.7519 0.7540  2 Hg 3.36, 6 Lu 3.39-3.49, 4 Dy 3.40-3.51
Lu7 0.5000 0.2433 0.5860  6 Lu 3.35-3.56, 4 Dy 3.38-3.54, 2 Hg 3.42-3.50
Lu8 0.5000 0.2567 0.0860  6 Lu 3.35-3.56, 4 Dy 3.38-3.54, 2 Hg 3.42-3.50
Lu9 0.5000 0.7433 0.0860  6 Lu 3.35-3.56, 4 Dy 3.38-3.54, 2 Hg 3.42-3.50
Lu10 0.5000 0.7567 0.5860  6 Lu 3.35-3.56, 4 Dy 3.38-3.54, 2 Hg 3.42-3.50
Hg1 0.5000 0.0000 0.8340  8 Lu 3.36-3.50, 4 Dy 3.37-3.46
Hg2 0.5000 0.5000 0.3340  8 Lu 3.36-3.50, 4 Dy 3.37-3.46

## Properties
DFT formation energy (eV/atom): -0.036

***

VASP calculation (PBE-GGA) on a geometry-optimized Dy2LuHg5 structure.

Cell: 5.0891 7.2705 10.5138 Å, 90.00 90.00 90.00°
Last column: nearest neighbours and their distance in Å.
Atoms (fractional coordinates):
Dy1 0.0000 0.0000 0.0000  10 Hg 3.12-3.31
Dy2 0.0000 0.5000 0.5000  10 Hg 3.12-3.31
Dy3 0.5000 0.0000 0.2982  8 Hg 3.05-3.21
Dy4 0.5000 0.5000 0.7982  8 Hg 3.05-3.21
Lu1 0.0000 0.0000 0.5487  8 Hg 3.05-3.37
Lu2 0.0000 0.5000 0.0487  8 Hg 3.05-3.37
Hg1 0.0000 0.2289 0.2703  2 Lu 3.05-3.37, 4 Dy 3.05-3.29, 3 Hg 3.23-3.33
Hg2 0.0000 0.2711 0.7703  2 Lu 3.05-3.37, 4 Dy 3.05-3.29, 3 Hg 3.23-3.33
Hg3 0.0000 0.7289 0.7703  2 Lu 3.05-3.37, 4 Dy 3.05-3.29, 3 Hg 3.23-3.33
Hg4 0.0000 0.7711 0.2703  2 Lu 3.05-3.37, 4 Dy 3.05-3.29, 3 Hg 3.23-3.33
Hg5 0.5000 0.0000 0.7989  8 Hg 3.17-3.23, 2 Dy 3.31
Hg6 0.5000 0.2473 0.5510  2 Lu 3.12, 4 Hg 3.17-3.44, 4 Dy 3.18-3.21
Hg7 0.5000 0.2527 0.0510  2 Lu 3.12, 4 Hg 3.17-3.44, 4 Dy 3.18-3.21
Hg8 0.5000 0.5000 0.2989  8 Hg 3.17-3.23, 2 Dy 3.31
Hg9 0.5000 0.7473 0.0510  2 Lu 3.12, 4 Hg 3.17-3.44, 4 Dy 3.18-3.21
Hg10 0.5000 0.7527 0.5510  2 Lu 3.12, 4 Hg 3.17-3.44, 4 Dy 3.18-3.21

## Properties
DFT formation energy (eV/atom): -0.411

***

VASP calculation (PBE-GGA) on a geometry-optimized DyLu2Hg structure.

Cell: 6.7582 11.7448 5.3633 Å, 90.00 90.00 90.00°
Last column: nearest neighbours and their distance in Å.
Atoms (fractional coordinates):
Dy1 0.0000 0.1727 0.2500  4 Hg 3.29-3.38, 8 Lu 3.30-3.47
Dy2 0.0000 0.8273 0.7500  4 Hg 3.29-3.38, 8 Lu 3.30-3.47
Dy3 0.5000 0.3273 0.7500  4 Hg 3.29-3.38, 8 Lu 3.30-3.47
Dy4 0.5000 0.6727 0.2500  4 Hg 3.29-3.38, 8 Lu 3.30-3.47
Lu1 0.2440 0.4161 0.2500  4 Hg 3.29-3.42, 4 Lu 3.30-3.46, 4 Dy 3.30-3.47
Lu2 0.2440 0.5839 0.7500  4 Hg 3.29-3.42, 4 Lu 3.30-3.46, 4 Dy 3.30-3.47
Lu3 0.2560 0.0839 0.7500  4 Hg 3.29-3.42, 4 Lu 3.30-3.46, 4 Dy 3.30-3.47
Lu4 0.2560 0.9161 0.2500  4 Hg 3.29-3.42, 4 Lu 3.30-3.46, 4 Dy 3.30-3.47
Lu5 0.7440 0.0839 0.7500  4 Hg 3.29-3.42, 4 Lu 3.30-3.46, 4 Dy 3.30-3.47
Lu6 0.7440 0.9161 0.2500  4 Hg 3.29-3.42, 4 Lu 3.30-3.46, 4 Dy 3.30-3.47
Lu7 0.7560 0.4161 0.2500  4 Hg 3.29-3.42, 4 Lu 3.30-3.46, 4 Dy 3.30-3.47
Lu8 0.7560 0.5839 0.7500  4 Hg 3.29-3.42, 4 Lu 3.30-3.46, 4 Dy 3.30-3.47
Hg1 0.0000 0.3353 0.7500  8 Lu 3.29-3.42, 4 Dy 3.29-3.38
Hg2 0.0000 0.6647 0.2500  8 Lu 3.29-3.42, 4 Dy 3.29-3.38
Hg3 0.5000 0.1647 0.2500  8 Lu 3.29-3.42, 4 Dy 3.29-3.38
Hg4 0.5000 0.8353 0.7500  8 Lu 3.29-3.42, 4 Dy 3.29-3.38

## Properties
DFT formation energy (eV/atom): -0.165
Energy above the lowest structure with this stoichiometry (eV per atom): 0.000

***

VASP calculation (PBE-GGA) on a geometry-optimized DyLu2Hg structure.

Cell: 5.3531 7.1307 11.3977 Å, 90.00 90.00 90.00°
Last column: nearest neighbours and their distance in Å.
Atoms (fractional coordinates):
Dy1 0.0000 0.0000 0.0000  8 Lu 3.31-3.57, 4 Hg 3.36
Dy2 0.0000 0.5000 0.5000  8 Lu 3.31-3.57, 4 Hg 3.36
Dy3 0.5000 0.0000 0.3185  4 Hg 3.29-3.43, 8 Lu 3.32-3.57
Dy4 0.5000 0.5000 0.8185  4 Hg 3.29-3.43, 8 Lu 3.32-3.57
Lu1 0.0000 0.0000 0.4995  4 Hg 3.32, 4 Lu 3.33-3.39, 4 Dy 3.38-3.57
Lu2 0.0000 0.2487 0.2457  2 Hg 3.29, 6 Lu 3.31-3.58, 4 Dy 3.31-3.41
Lu3 0.0000 0.2513 0.7457  2 Hg 3.29, 6 Lu 3.31-3.58, 4 Dy 3.31-3.41
Lu4 0.0000 0.5000 0.9995  4 Hg 3.32, 4 Lu 3.33-3.39, 4 Dy 3.38-3.57
Lu5 0.0000 0.7487 0.7457  2 Hg 3.29, 6 Lu 3.31-3.58, 4 Dy 3.31-3.41
Lu6 0.0000 0.7513 0.2457  2 Hg 3.29, 6 Lu 3.31-3.58, 4 Dy 3.31-3.41
Lu7 0.5000 0.0000 0.8132  4 Hg 3.20-3.52, 4 Lu 3.31, 4 Dy 3.42-3.57
Lu8 0.5000 0.5000 0.3132  4 Hg 3.20-3.52, 4 Lu 3.31, 4 Dy 3.42-3.57
Hg1 0.5000 0.2447 0.5780  6 Lu 3.20-3.52, 4 Dy 3.29-3.43, 1 Hg 3.49
Hg2 0.5000 0.2553 0.0780  6 Lu 3.20-3.52, 4 Dy 3.29-3.43, 1 Hg 3.49
Hg3 0.5000 0.7447 0.0780  6 Lu 3.20-3.52, 4 Dy 3.29-3.43, 1 Hg 3.49
Hg4 0.5000 0.7553 0.5780  6 Lu 3.20-3.52, 4 Dy 3.29-3.43, 1 Hg 3.49

## Properties
DFT formation energy (eV/atom): -0.101
Energy above the lowest structure with this stoichiometry (eV per atom): 0.064

***

What spin magnetization values result from the calculations? In sequence: 0.00, 0.00, 1.75, 0.00, 0.02, 0.07 Bohr magnetons per cell.